{"formula": "Th3Co4B4", "functional": "PBE", "state": "optimized geometry", "lattice": [[3.755, 0.000, 0.000], [-0.692, 3.820, 0.000], [-1.685, -1.596, 11.473]], "species": ["Th", "Th", "Th", "Co", "Co", "Co", "Co", "B", "B", "B", "B"], "fractional_positions": [[0.000, 0.000, 0.000], [0.370, 0.832, 0.701], [0.630, 0.168, 0.299], [0.278, 0.678, 0.457], [0.423, 0.431, 0.884], [0.577, 0.569, 0.116], [0.722, 0.322, 0.543], [0.110, 0.579, 0.184], [0.179, 0.177, 0.497], [0.821, 0.823, 0.503], [0.890, 0.421, 0.816]], "spacegroup": "P-1", "e_form_ev_per_atom": -0.36}